Entry 1:
{
  "formula": "Sr2Zn3SbAu12",
  "functional": "PBE",
  "state": "optimized geometry",
  "cell": [[-8.376, -5.309, 2.571], [-5.907, -7.488, -3.740], [-2.717, -9.616, 2.257]],
  "species": ["Au", "Au", "Au", "Au", "Au", "Sr", "Au", "Au", "Au", "Au", "Sr", "Zn", "Au", "Zn", "Zn", "Sb", "Au", "Au"],
  "fractional_positions": [[0.904, 0.392, 0.904], [0.904, 0.904, 0.392], [0.590, 0.189, 0.590], [0.608, 0.096, 0.096], [0.392, 0.904, 0.904], [0.645, 0.645, 0.645], [0.096, 0.608, 0.096], [0.590, 0.590, 0.189], [0.096, 0.096, 0.608], [0.189, 0.590, 0.590], [0.355, 0.355, 0.355], [0.500, 0.000, 0.000], [0.410, 0.811, 0.410], [0.000, 0.000, 0.500], [0.000, 0.500, 0.000], [0.000, 0.000, 0.000], [0.410, 0.410, 0.811], [0.811, 0.410, 0.410]],
  "crystal_system": "trigonal",
  "e_tot_ev_per_cell": -54.6,
  "formation_energy_uncorrected_mev_per_atom": -220,
  "dos_ef_per_ev_atom": 0.27
}

***

Entry 2:
{
  "formula": "SrZn2SbAu5",
  "functional": "PBE",
  "state": "optimized geometry",
  "cell": [[5.024, 0.000, 0.000], [0.000, 5.024, 0.000], [0.000, 0.000, 7.684]],
  "species": ["Au", "Zn", "Sr", "Au", "Sb", "Au", "Au", "Zn", "Au"],
  "fractional_positions": [[0.000, 0.500, 0.772], [0.500, 0.500, 0.162], [0.000, 0.000, 0.500], [0.500, 0.000, 0.772], [0.000, 0.000, 0.000], [0.000, 0.500, 0.228], [0.500, 0.000, 0.228], [0.500, 0.500, 0.838], [0.500, 0.500, 0.500]],
  "crystal_system": "tetragonal",
  "e_tot_ev_per_cell": -26.6,
  "formation_energy_uncorrected_mev_per_atom": -206,
  "dos_ef_per_ev_atom": 0.28
}

***

Entry 3:
{
  "formula": "TaSbAu2",
  "functional": "PBE",
  "state": "optimized geometry",
  "cell": [[-0.723, 9.380, -2.011], [-3.548, 8.421, -3.010], [-3.104, 9.106, 0.028]],
  "species": ["Ta", "Sb", "Au", "Au"],
  "fractional_positions": [[0.750, 0.750, 0.750], [0.250, 0.250, 0.250], [0.494, 0.494, 0.494], [0.006, 0.006, 0.006]],
  "crystal_system": "trigonal",
  "e_tot_ev_per_cell": -21.8,
  "formation_energy_uncorrected_mev_per_atom": 170,
  "dos_ef_per_ev_atom": 0.84
}

***

Entry 4:
{
  "formula": "TaSbAu2",
  "functional": "PBE",
  "state": "optimized geometry",
  "cell": [[5.440, 0.000, 0.000], [2.351, 4.906, 0.000], [-3.896, -2.453, 2.899]],
  "species": ["Au", "Ta", "Au", "Sb"],
  "fractional_positions": [[0.000, 0.000, 0.000], [0.750, 0.250, 0.500], [0.500, 0.500, 0.000], [0.250, 0.750, 0.500]],
  "crystal_system": "tetragonal",
  "e_tot_ev_per_cell": -21.5,
  "formation_energy_uncorrected_mev_per_atom": 248,
  "dos_ef_per_ev_atom": 1.01
}

***

Entry 5:
{
  "formula": "TaSbAu2",
  "functional": "PBE",
  "state": "optimized geometry",
  "cell": [[3.049, 0.016, 0.000], [-0.014, 3.049, 0.000], [0.000, 0.000, 8.729]],
  "species": ["Sb", "Au", "Au", "Ta"],
  "fractional_positions": [[0.500, 0.500, 0.250], [0.000, 0.000, 0.533], [0.000, 0.000, 0.967], [0.500, 0.500, 0.750]],
  "crystal_system": "tetragonal",
  "e_tot_ev_per_cell": -22.3,
  "formation_energy_uncorrected_mev_per_atom": 48,
  "dos_ef_per_ev_atom": 0.46
}

***

Entry 6:
{
  "formula": "TaSbAu2",
  "functional": "PBE",
  "state": "optimized geometry",
  "cell": [[-2.056, 2.076, 4.336], [-0.574, -5.180, -0.427], [2.737, -0.427, 1.502]],
  "species": ["Sb", "Au", "Ta", "Au"],
  "fractional_positions": [[0.500, 0.000, 0.500], [0.500, 0.500, 0.000], [0.000, 0.500, 0.500], [0.000, 0.000, 0.000]],
  "crystal_system": "orthorhombic",
  "e_tot_ev_per_cell": -21.9,
  "formation_energy_uncorrected_mev_per_atom": 151,
  "dos_ef_per_ev_atom": 0.55
}

***

Entry 7:
{
  "formula": "TaSbAu2",
  "functional": "PBE",
  "state": "optimized geometry",
  "cell": [[-4.173, -0.095, 0.221], [0.169, -2.241, 2.216], [0.301, 1.881, 6.491]],
  "species": ["Ta", "Au", "Au", "Sb"],
  "fractional_positions": [[0.500, 0.750, 0.750], [0.000, 0.007, 0.983], [0.000, 0.493, 0.517], [0.500, 0.250, 0.250]],
  "crystal_system": "monoclinic",
  "e_tot_ev_per_cell": -21.9,
  "formation_energy_uncorrected_mev_per_atom": 166,
  "dos_ef_per_ev_atom": 0.65
}

***

Entry 8:
{
  "formula": "Ta2SbAu2",
  "functional": "PBE",
  "state": "optimized geometry",
  "cell": [[-1.886, 1.886, 7.108], [1.886, -1.886, 7.108], [1.886, 1.886, -7.108]],
  "species": ["Au", "Ta", "Sb", "Au", "Ta"],
  "fractional_positions": [[0.750, 0.250, 0.500], [0.597, 0.597, 0.000], [0.000, 0.000, 0.000], [0.250, 0.750, 0.500], [0.403, 0.403, 0.000]],
  "crystal_system": "tetragonal",
  "e_tot_ev_per_cell": -32.9,
  "formation_energy_uncorrected_mev_per_atom": 298,
  "dos_ef_per_ev_atom": 0.82
}

***

Entry 9:
{
  "formula": "TaSbAu2",
  "functional": "PBE",
  "state": "optimized geometry",
  "cell": [[-1.475, 0.734, -2.566], [2.204, -2.240, -1.907], [-4.514, -5.349, 1.065]],
  "species": ["Sb", "Au", "Ta", "Au"],
  "fractional_positions": [[0.000, 0.000, 0.513], [0.500, 0.500, 0.221], [0.500, 0.500, 0.774], [0.000, 0.000, 0.992]],
  "crystal_system": "orthorhombic",
  "e_tot_ev_per_cell": -22.1,
  "formation_energy_uncorrected_mev_per_atom": 108,
  "dos_ef_per_ev_atom": 0.47
}

***

Entry 10:
{
  "formula": "TaSbAu3",
  "functional": "PBE",
  "state": "optimized geometry",
  "cell": [[5.028, 0.000, 0.000], [0.000, 5.028, 0.000], [0.000, 0.000, 5.028]],
  "species": ["Ta", "Au", "Au", "Au", "Sb"],
  "fractional_positions": [[0.500, 0.500, 0.500], [0.000, 0.000, 0.500], [0.500, 0.000, 0.000], [0.000, 0.500, 0.000], [0.000, 0.000, 0.000]],
  "crystal_system": "cubic",
  "e_tot_ev_per_cell": -19.0,
  "de_polymorph_mev_per_atom": 415.1,
  "formation_energy_uncorrected_mev_per_atom": 1354,
  "dos_ef_per_ev_atom": 0.83
}

***

Entry 11:
{
  "formula": "TaSbAu2",
  "functional": "PBE",
  "state": "optimized geometry",
  "cell": [[4.790, 0.000, 0.000], [2.395, 4.148, 0.000], [2.395, 1.383, 3.911]],
  "species": ["Ta", "Au", "Au", "Sb"],
  "fractional_positions": [[0.750, 0.750, 0.750], [0.000, 0.000, 0.000], [0.250, 0.250, 0.250], [0.500, 0.500, 0.500]],
  "crystal_system": "cubic",
  "e_tot_ev_per_cell": -21.5,
  "formation_energy_uncorrected_mev_per_atom": 265,
  "dos_ef_per_ev_atom": 0.79
}

***

Entry 12:
{
  "formula": "TaSbAu2",
  "functional": "PBE",
  "state": "optimized geometry",
  "cell": [[7.683, 0.000, 0.000], [0.000, 7.683, 0.000], [3.841, 3.841, 2.815]],
  "species": ["Au", "Au", "Au", "Sb", "Ta", "Sb", "Au", "Ta"],
  "fractional_positions": [[0.375, 0.369, 0.750], [0.875, 0.881, 0.750], [0.631, 0.125, 0.250], [0.500, 0.500, 0.000], [0.750, 0.250, 0.500], [0.250, 0.750, 0.500], [0.119, 0.625, 0.250], [0.000, 0.000, 0.000]],
  "crystal_system": "tetragonal",
  "e_tot_ev_per_cell": -43.4,
  "formation_energy_uncorrected_mev_per_atom": 207,
  "dos_ef_per_ev_atom": 0.26
}

***

Entry 13:
{
  "formula": "TaSbAu2",
  "functional": "PBE",
  "state": "optimized geometry",
  "cell": [[6.053, 0.001, 0.004], [3.265, 5.097, -0.004], [-4.011, -3.734, 2.571]],
  "species": ["Au", "Au", "Ta", "Sb"],
  "fractional_positions": [[0.483, 0.483, 0.000], [0.017, 0.017, 0.000], [0.250, 0.750, 0.500], [0.750, 0.250, 0.500]],
  "crystal_system": "orthorhombic",
  "e_tot_ev_per_cell": -21.9,
  "formation_energy_uncorrected_mev_per_atom": 165,
  "dos_ef_per_ev_atom": 0.55
}

***

Entry 14:
{
  "formula": "TaSbAu3",
  "functional": "PBE",
  "state": "optimized geometry",
  "cell": [[-0.948, 4.620, 1.967], [-4.279, 0.305, -2.777], [-2.628, -2.163, 3.812]],
  "species": ["Au", "Ta", "Sb", "Au", "Au"],
  "fractional_positions": [[0.500, 0.000, 0.000], [0.000, 0.000, 0.000], [0.500, 0.500, 0.500], [0.000, 0.500, 0.000], [0.000, 0.000, 0.500]],
  "crystal_system": "cubic",
  "e_tot_ev_per_cell": -21.1,
  "de_polymorph_mev_per_atom": 0.0,
  "formation_energy_uncorrected_mev_per_atom": 939,
  "dos_ef_per_ev_atom": 0.82
}

***

Entry 15:
{
  "formula": "TaSbAu2",
  "functional": "PBE",
  "state": "optimized geometry",
  "cell": [[-0.767, -4.831, 2.476], [3.773, -3.857, -0.974], [0.028, 5.267, 1.524]],
  "species": ["Sb", "Ta", "Au", "Au"],
  "fractional_positions": [[0.500, 0.500, 0.000], [0.750, 0.250, 0.500], [0.000, 0.000, 0.000], [0.250, 0.750, 0.500]],
  "crystal_system": "tetragonal",
  "e_tot_ev_per_cell": -21.5,
  "formation_energy_uncorrected_mev_per_atom": 251,
  "dos_ef_per_ev_atom": 1.16
}

***

Entry 16:
{
  "formula": "Ta3SbAu",
  "functional": "PBE",
  "state": "optimized geometry",
  "cell": [[-3.725, -2.662, -1.936], [2.870, -1.196, -3.878], [1.611, -4.024, 2.433]],
  "species": ["Sb", "Au", "Ta", "Ta", "Ta"],
  "fractional_positions": [[0.500, 0.500, 0.500], [0.000, 0.000, 0.000], [0.000, 0.500, 0.000], [0.500, 0.000, 0.000], [0.000, 0.000, 0.500]],
  "crystal_system": "cubic",
  "e_tot_ev_per_cell": -35.2,
  "de_polymorph_mev_per_atom": 0.0,
  "formation_energy_uncorrected_mev_per_atom": 1544,
  "dos_ef_per_ev_atom": 1.56
}

***

Entry 17:
{
  "formula": "TaSbAu2",
  "functional": "PBE",
  "state": "optimized geometry",
  "cell": [[-2.494, -0.029, 3.734], [-1.812, -3.510, -1.237], [2.926, -2.194, 1.938]],
  "species": ["Au", "Au", "Ta", "Sb"],
  "fractional_positions": [[0.000, 0.500, 0.500], [0.000, 0.000, 0.000], [0.500, 0.000, 0.500], [0.500, 0.500, 0.000]],
  "crystal_system": "tetragonal",
  "e_tot_ev_per_cell": -21.8,
  "formation_energy_uncorrected_mev_per_atom": 185,
  "dos_ef_per_ev_atom": 0.59
}

***

Entry 18:
{
  "formula": "TaSbAu2",
  "functional": "PBE",
  "state": "optimized geometry",
  "cell": [[-1.473, 3.691, 8.915], [-1.902, 0.672, 9.549], [0.974, 1.866, 9.531]],
  "species": ["Au", "Au", "Sb", "Ta"],
  "fractional_positions": [[0.257, 0.257, 0.257], [0.004, 0.004, 0.004], [0.494, 0.494, 0.494], [0.746, 0.746, 0.746]],
  "crystal_system": "trigonal",
  "e_tot_ev_per_cell": -21.9,
  "formation_energy_uncorrected_mev_per_atom": 146,
  "dos_ef_per_ev_atom": 0.76
}

***

Entry 19:
{
  "formula": "TaSbAu2",
  "functional": "PBE",
  "state": "optimized geometry",
  "cell": [[3.007, 0.177, 0.000], [-0.047, 3.012, 0.000], [0.000, 0.000, 9.057]],
  "species": ["Ta", "Sb", "Au", "Au"],
  "fractional_positions": [[0.500, 0.500, 0.773], [0.000, 0.000, 0.529], [0.000, 0.000, 0.985], [0.500, 0.500, 0.213]],
  "crystal_system": "orthorhombic",
  "e_tot_ev_per_cell": -22.1,
  "formation_energy_uncorrected_mev_per_atom": 103,
  "dos_ef_per_ev_atom": 0.49
}

***

Entry 20:
{
  "formula": "TaSbAu2",
  "functional": "PBE",
  "state": "optimized geometry",
  "cell": [[-0.814, -3.970, -2.074], [1.990, -1.328, 1.762], [-4.279, -1.179, 3.935]],
  "species": ["Ta", "Au", "Au", "Sb"],
  "fractional_positions": [[0.500, 0.749, 0.781], [0.500, 0.250, 0.232], [0.000, 0.251, 0.973], [0.000, 0.249, 0.513]],
  "crystal_system": "orthorhombic",
  "e_tot_ev_per_cell": -21.7,
  "formation_energy_uncorrected_mev_per_atom": 197,
  "dos_ef_per_ev_atom": 0.81
}